No. 1
# KCaF3

A PBEsol-optimized structure of KCaF3 (meta-GGA SCAN, Alexandria via LeMat-Bulk).

abc: 4.408 4.408 4.408
angles: 90.00 90.00 90.00
Positions (direct):
F (0.000, 0.500, 0.000)
Ca (0.000, 0.000, 0.000)
F (0.500, 0.000, 0.000)
F (0.000, 0.000, 0.500)
K (0.500, 0.500, 0.500)

As for the space-group type: Pm-3m. The calculation puts the total magnetic moment at 0.00 μB/atom. The calculation puts the raw formation energy at -3.65 eV/atom. For the total energy, the calculation gives -9.369 eV per atom.

=====

No. 2
# OsSOF2

A PBEsol-optimized structure of OsSOF2 (meta-GGA SCAN, Alexandria via LeMat-Bulk).

abc: 3.307 4.582 4.582
angles: 90.00 90.00 90.00
Last column: magnetic moment on the atom in μB.
Positions (direct):
F (0.000, 0.000, 0.500)  0.06
F (0.000, 0.500, 0.000)  0.06
Os (0.500, 0.500, 0.500)  2.90
S (0.000, 0.000, 0.000)  0.01
O (0.500, 0.000, 0.000)  0.02

As for the space-group type: P4/mmm. The calculation puts the total magnetic moment at 0.72 μB/atom. The calculation puts the raw formation energy at 0.69 eV/atom. For the total energy, the calculation gives -18.278 eV per atom.